# 1
# TlCo2PdCl8 | the Alexandria database | PBE-GGA | relaxed
data_TlCo2PdCl8
_chemical_formula_sum 'Tl1 Co2 Pd1 Cl8'
_symmetry_space_group_name_H-M 'P 1'
_symmetry_Int_Tables_number 1
_cell_length_a 6.238
_cell_length_b 6.238
_cell_length_c 10.023
_cell_angle_alpha 71.87
_cell_angle_beta 71.87
_cell_angle_gamma 60.00
loop_
_symmetry_equiv_pos_as_xyz
'x,y,z'
loop_
_atom_site_label
_atom_site_fract_x
_atom_site_fract_y
_atom_site_fract_z
Tl1 0.500 0.500 0.500
Co1 0.257 0.257 0.228
Co2 0.743 0.743 0.772
Pd1 0.000 0.000 0.000
Cl1 0.180 0.180 0.461
Cl2 0.626 0.267 0.157
Cl3 0.820 0.820 0.539
Cl4 0.950 0.626 0.157
Cl5 0.050 0.374 0.843
Cl6 0.267 0.950 0.157
Cl7 0.733 0.050 0.843
Cl8 0.374 0.733 0.843
# **Symmetry**: R-3, No. 148
# **Raw total energy**: -3.634 eV per atom
# **Magnetization**: 0.412 μB/atom
# **Formation energy (no corrections)**: -0.589 eV per atom


# 2
# Pm5Er3Sb8 | the Alexandria database | PBE-GGA | relaxed
data_Pm5Er3Sb8
_chemical_formula_sum 'Pm5 Er3 Sb8'
_symmetry_space_group_name_H-M 'P 1'
_symmetry_Int_Tables_number 1
_cell_length_a 8.884
_cell_length_b 8.884
_cell_length_c 8.880
_cell_angle_alpha 59.99
_cell_angle_beta 59.99
_cell_angle_gamma 60.00
loop_
_symmetry_equiv_pos_as_xyz
'x,y,z'
loop_
_atom_site_label
_atom_site_fract_x
_atom_site_fract_y
_atom_site_fract_z
Pm1 0.500 0.000 0.000
Pm2 0.500 0.500 0.000
Pm3 0.000 0.000 0.000
Pm4 0.000 0.500 0.000
Pm5 0.500 0.500 0.500
Er1 0.500 0.000 0.500
Er2 0.000 0.000 0.500
Er3 0.000 0.500 0.500
Sb1 0.250 0.250 0.744
Sb2 0.250 0.756 0.744
Sb3 0.756 0.250 0.744
Sb4 0.753 0.753 0.741
Sb5 0.750 0.750 0.256
Sb6 0.750 0.244 0.256
Sb7 0.244 0.750 0.256
Sb8 0.247 0.247 0.259
# **Symmetry**: R-3m, No. 166
# **Raw total energy**: -5.549 eV per atom
# **Magnetization**: 0.000 μB/atom
# **Formation energy (no corrections)**: -1.147 eV per atom


What is the formula in the second record? Pm5Er3Sb8


The lowest formation energy (no corrections) belongs to which entry? Pm5Er3Sb8